1.
SrCaTiMnO6 (PBE+U, relaxed); spin magnetization = 6.0 μB per cell; volume = 11.604 Å³ per atom; E_tot = -149.3 eV/cell; space-group type = Pma2, No. 28; excess energy over the best structure of this formula in the dataset = 0.32 kcal/mol of atoms
1.0
-2.048 4.403 2.529
2.224 -1.692 4.747
6.425 3.916 -1.615
Mn O Ca Ti Sr
2 12 2 2 2
direct
0.750 0.749 0.503
0.250 0.251 0.503
0.750 0.679 0.746
0.000 0.000 0.964
0.000 0.500 0.469
0.250 0.198 0.255
0.500 0.000 0.547
0.500 0.500 0.024
0.750 0.802 0.255
0.000 0.000 0.547
0.000 0.500 0.024
0.500 0.000 0.964
0.500 0.500 0.469
0.250 0.321 0.746
0.750 0.245 0.745
0.250 0.755 0.745
0.250 0.252 0.994
0.750 0.748 0.994
0.750 0.254 0.252
0.250 0.746 0.252



2.
SrCaTiMnO6 (PBE+U, relaxed); spin magnetization = 6.1 μB per cell; volume = 11.502 Å³ per atom; E_tot = -149.6 eV/cell; space-group type = P2_1, No. 4; excess energy over the best structure of this formula in the dataset = 0.00 kcal/mol of atoms
1.0
-5.430 0.246 0.510
0.326 -2.665 4.755
0.654 6.728 3.720
Sr Ti O Mn Ca
2 2 12 2 2
direct
0.985 0.503 0.749
0.485 0.997 0.751
0.001 0.998 0.495
0.501 0.502 0.005
0.272 0.222 0.035
0.772 0.278 0.465
0.723 0.772 0.520
0.228 0.725 0.520
0.488 0.562 0.253
0.002 0.044 0.753
0.502 0.456 0.747
0.276 0.229 0.465
0.728 0.775 0.980
0.223 0.728 0.980
0.776 0.271 0.035
0.988 0.938 0.247
0.500 0.501 0.496
0.000 0.999 0.004
0.026 0.496 0.250
0.526 0.004 0.250



3.
SrCa3TiMn3O12 (PBE+U, relaxed); spin magnetization = 9.4 μB per cell; volume = 11.376 Å³ per atom; E_tot = -143.1 eV/cell; space-group type = Amm2, No. 38
1.0
3.844 0.000 0.000
0.000 7.694 0.017
0.000 0.022 7.694
Ca O Mn Ti Sr
3 12 3 1 1
direct
0.000 0.764 0.764
0.000 0.763 0.257
0.000 0.257 0.763
0.500 0.249 0.990
0.000 0.497 0.985
0.500 0.752 0.499
0.500 0.244 0.503
0.000 0.985 0.497
0.500 0.503 0.244
0.500 0.991 0.749
0.500 0.499 0.752
0.000 0.497 0.497
0.000 0.996 0.996
0.500 0.749 0.991
0.500 0.990 0.249
0.500 0.504 0.002
0.500 0.001 0.001
0.500 0.002 0.504
0.500 0.507 0.507
0.000 0.251 0.251



4.
Sr3CaTi3MnO12 (PBE+U, relaxed); spin magnetization = 6.1 μB per cell; volume = 11.939 Å³ per atom; E_tot = -309.6 eV/cell; space-group type = Pma2, No. 28
1.0
-2.814 4.865 -5.352
4.006 -3.821 -5.579
-6.108 -4.766 -1.121
O Ca Ti Mn Sr
24 2 6 2 6
direct
0.249 0.498 0.530
0.247 0.998 0.525
0.249 0.498 0.970
0.036 0.990 0.250
0.751 0.498 0.030
0.500 0.749 0.000
0.964 0.990 0.750
0.000 0.752 0.500
0.753 0.998 0.475
0.468 0.505 0.250
0.000 0.752 0.000
0.000 0.245 0.000
0.475 0.992 0.250
0.247 0.998 0.975
0.753 0.998 0.025
0.532 0.505 0.750
0.968 0.506 0.750
0.500 0.749 0.500
0.525 0.992 0.750
0.500 0.247 0.000
0.751 0.498 0.470
0.000 0.245 0.500
0.032 0.506 0.250
0.500 0.247 0.500
0.249 0.756 0.250
0.751 0.756 0.750
0.000 0.506 0.500
0.500 0.506 0.000
0.500 0.506 0.500
0.000 0.506 0.000
0.500 0.002 0.500
0.500 0.002 0.000
0.000 0.000 0.000
0.000 0.000 0.500
0.248 0.250 0.250
0.246 0.249 0.750
0.247 0.753 0.750
0.754 0.249 0.250
0.753 0.753 0.250
0.752 0.250 0.750



5.
SrCa7Ti2Mn6O23 (PBE+U, relaxed); spin magnetization = 20.0 μB per cell; volume = 11.584 Å³ per atom; E_tot = -282.5 eV/cell; space-group type = P1, No. 1
1.0
-5.966 -4.578 -1.462
4.798 -5.910 -0.577
-0.815 -1.381 7.557
Mn O Ca Ti Sr
6 23 7 2 1
direct
0.503 0.001 0.501
0.502 0.504 0.500
0.001 0.499 0.999
0.503 0.502 0.999
0.998 0.997 0.507
0.003 0.504 0.497
0.753 0.469 0.534
0.752 0.463 0.957
0.028 0.554 0.748
0.974 0.755 0.437
0.543 0.754 0.537
0.754 0.042 0.451
0.244 0.970 0.986
0.036 0.248 0.961
0.464 0.479 0.750
0.972 0.448 0.248
0.249 0.966 0.539
0.536 0.530 0.249
0.759 0.035 0.063
0.476 0.254 0.028
0.539 0.752 0.969
0.038 0.250 0.538
0.932 0.959 0.756
0.968 0.751 0.051
0.253 0.540 0.468
0.471 0.252 0.474
0.466 0.965 0.257
0.253 0.540 0.031
0.528 0.039 0.753
0.766 0.245 0.737
0.731 0.770 0.255
0.280 0.733 0.748
0.755 0.706 0.750
0.243 0.748 0.250
0.270 0.240 0.743
0.719 0.276 0.254
0.504 0.002 0.002
0.989 0.991 0.975
0.245 0.268 0.249



6.
Ca2Ta2MnO8 (PBE+U, relaxed); spin magnetization = 10.0 μB per cell; volume = 13.051 Å³ per atom; E_tot = -221.7 eV/cell; space-group type = C2/c, No. 15
1.0
-2.494 4.676 -1.473
-3.349 -3.182 -4.430
-5.131 -0.363 8.764
Mn O Ca Ta
2 16 4 4
direct
0.750 0.356 0.000
0.250 0.644 0.000
0.995 0.247 0.365
0.505 0.882 0.635
0.083 0.951 0.145
0.344 0.531 0.372
0.495 0.118 0.365
0.908 0.594 0.883
0.583 0.194 0.145
0.417 0.806 0.855
0.092 0.406 0.117
0.408 0.289 0.883
0.917 0.049 0.855
0.156 0.159 0.628
0.844 0.841 0.372
0.592 0.711 0.117
0.656 0.469 0.628
0.005 0.753 0.635
0.744 0.536 0.420
0.244 0.884 0.420
0.756 0.116 0.580
0.256 0.464 0.580
0.247 0.033 0.772
0.747 0.739 0.772
0.253 0.261 0.228
0.753 0.967 0.228



7.
CaTaMn2O6 (PBE+U, relaxed); spin magnetization = 7.0 μB per cell; volume = 12.118 Å³ per atom; E_tot = -81.1 eV/cell; space-group type = P1, No. 1
1.0
5.329 -0.006 0.002
2.659 4.602 0.009
2.665 1.540 4.942
Mn O Ta Ca
2 6 1 1
direct
0.009 0.007 0.974
0.526 0.526 0.422
0.150 0.355 0.771
0.604 0.227 0.224
0.945 0.605 0.225
0.355 0.726 0.769
0.725 0.148 0.771
0.226 0.945 0.225
0.321 0.321 0.039
0.802 0.801 0.595



8.
CaTbMn2O6 (PBE+U, relaxed); spin magnetization = 14.0 μB per cell; volume = 11.288 Å³ per atom; E_tot = -149.9 eV/cell; space-group type = Pmn2_1, No. 31
1.0
-0.457 5.051 1.742
-3.534 -1.680 3.945
5.811 -1.108 4.734
O Tb Mn Ca
12 2 4 2
direct
0.198 0.949 0.701
0.791 0.540 0.203
0.291 0.460 0.703
0.198 0.949 0.299
0.600 0.776 0.500
0.791 0.540 0.797
0.291 0.460 0.297
0.698 0.051 0.201
0.100 0.224 0.000
0.415 0.719 0.000
0.915 0.281 0.500
0.698 0.051 0.799
0.516 0.313 0.000
0.016 0.687 0.500
0.001 0.246 0.750
0.501 0.754 0.750
0.501 0.754 0.250
0.001 0.246 0.250
0.989 0.802 0.000
0.489 0.198 0.500